! Pr12Ho5Er (GGA-PBE, relaxed); values from VASP
! - Space group: Cmmm
! - Energy of formation: 0.02 eV per atom
&SYSTEM
  ibrav = 0, nat = 18, ntyp = 3
/
ATOMIC_SPECIES
Pr 140.91 Pr.upf
Ho 164.93 Ho.upf
Er 167.26 Er.upf
CELL_PARAMETERS angstrom
15.4330 0.0000 0.0077
7.7165 7.7656 0.0039
-0.0021 0.0000 5.1802
ATOMIC_POSITIONS crystal
Pr 0.8359 0.0000 0.5000
Pr 0.1641 0.0000 0.5000
Pr 0.6647 0.0000 0.9999
Pr 0.3353 0.0000 0.0001
Pr 0.3310 0.6666 0.0000
Pr 0.0024 0.6666 0.0000
Pr 0.9976 0.3334 0.0000
Pr 0.6690 0.3334 0.0000
Pr 0.4980 0.3332 0.5001
Pr 0.8312 0.6668 0.5001
Pr 0.1688 0.3332 0.4999
Pr 0.5021 0.6668 0.4999
Ho 0.5000 0.0000 0.5000
Ho 0.1667 0.6665 0.5000
Ho 0.8333 0.3335 0.5000
Ho 0.6665 0.6671 0.0000
Ho 0.3335 0.3329 0.0000
Er 0.0000 0.0000 0.0000

! Pr2HoEr8 (GGA-PBE, relaxed); values from VASP
! - Space group: C2/m
! - Energy of formation: 0.16 eV per atom
! - Offset from the most stable computed form: 136 meV per atom
&SYSTEM
  ibrav = 0, nat = 11, ntyp = 3
/
ATOMIC_SPECIES
Pr 140.91 Pr.upf
Ho 164.93 Ho.upf
Er 167.26 Er.upf
CELL_PARAMETERS angstrom
5.6379 1.6403 0.0000
2.5909 8.6413 0.0000
1.2955 4.3206 7.9776
ATOMIC_POSITIONS crystal
Pr 0.0000 0.3063 0.3873
Pr 0.0000 0.6937 0.6127
Ho 0.5000 0.0000 0.0000
Er 0.8281 0.0981 0.2304
Er 0.8281 0.3285 0.7696
Er 0.2974 0.4283 0.0000
Er 0.5000 0.7926 0.4149
Er 0.5000 0.2074 0.5851
Er 0.7026 0.5717 0.0000
Er 0.1719 0.6715 0.2304
Er 0.1719 0.9019 0.7696

! PrHoEr2 (GGA-PBE, relaxed); values from VASP
! - Space group: R3m
! - Energy of formation: 0.02 eV per atom
! - Offset from the most stable computed form: 8 meV per atom
&SYSTEM
  ibrav = 0, nat = 4, ntyp = 3
/
ATOMIC_SPECIES
Pr 140.91 Pr.upf
Ho 164.93 Ho.upf
Er 167.26 Er.upf
CELL_PARAMETERS angstrom
3.5801 0.0000 0.0000
1.7901 3.1005 0.0000
1.7901 1.0335 11.5446
ATOMIC_POSITIONS crystal
Pr 0.5006 0.5006 0.4983
Ho 0.6663 0.6663 0.0010
Er 0.0811 0.0811 0.7567
Er 0.2520 0.2520 0.2441

! PrHo2Er9 (GGA-PBE, relaxed); values from VASP
! - Space group: P4/mmm
! - Energy of formation: 0.03 eV per atom
! - Offset from the most stable computed form: 0 meV per atom
&SYSTEM
  ibrav = 0, nat = 12, ntyp = 3
/
ATOMIC_SPECIES
Pr 140.91 Pr.upf
Ho 164.93 Ho.upf
Er 167.26 Er.upf
CELL_PARAMETERS angstrom
4.9877 0.0000 0.0000
0.0000 4.9877 0.0000
0.0000 0.0000 14.9570
ATOMIC_POSITIONS crystal
Pr 0.0000 0.0000 0.0000
Ho 0.0000 0.0000 0.3346
Ho 0.0000 0.0000 0.6654
Er 0.5000 0.5000 0.0000
Er 0.5000 0.5000 0.3353
Er 0.5000 0.5000 0.6647
Er 0.5000 0.0000 0.1696
Er 0.5000 0.0000 0.5000
Er 0.5000 0.0000 0.8304
Er 0.0000 0.5000 0.1696
Er 0.0000 0.5000 0.5000
Er 0.0000 0.5000 0.8304

! PrHo8Er5 (GGA-PBE, relaxed); values from VASP
! - Space group: I-4
! - Energy of formation: 0.25 eV per atom
&SYSTEM
  ibrav = 0, nat = 14, ntyp = 3
/
ATOMIC_SPECIES
Pr 140.91 Pr.upf
Ho 164.93 Ho.upf
Er 167.26 Er.upf
CELL_PARAMETERS angstrom
8.0187 0.0000 -2.4595
-4.1417 6.6650 -2.9618
0.2648 0.0000 8.3832
ATOMIC_POSITIONS crystal
Pr 0.2500 0.5000 0.7500
Ho 0.1638 0.7402 0.0812
Ho 0.9188 0.0826 0.6590
Ho 0.7203 0.2521 0.3259
Ho 0.6741 0.3943 0.9262
Ho 0.5318 0.6057 0.2797
Ho 0.5764 0.9174 0.8362
Ho 0.3410 0.2598 0.4236
Ho 0.0738 0.7479 0.4682
Er 0.0415 0.3232 0.1364
Er 0.8636 0.9051 0.1868
Er 0.8132 0.6768 0.7183
Er 0.5000 0.0000 0.5000
Er 0.2817 0.0949 0.9585

! Pr2Ho5Er12 (GGA-PBE, relaxed); values from VASP
! - Space group: P-1
! - Energy of formation: 0.02 eV per atom
! - Offset from the most stable computed form: 0 meV per atom
&SYSTEM
  ibrav = 0, nat = 19, ntyp = 3
/
ATOMIC_SPECIES
Pr 140.91 Pr.upf
Ho 164.93 Ho.upf
Er 167.26 Er.upf
CELL_PARAMETERS angstrom
-0.2395 6.0663 0.7319
5.9952 -5.7899 -9.6195
-12.4847 0.2622 2.4242
ATOMIC_POSITIONS crystal
Pr 0.7381 0.1590 0.1858
Pr 0.2619 0.8410 0.8142
Ho 0.2111 0.4726 0.5526
Ho 0.5256 0.6835 0.1317
Ho 0.0000 0.0000 0.5000
Ho 0.4744 0.3165 0.8683
Ho 0.7889 0.5274 0.4474
Er 0.1568 0.1042 0.2906
Er 0.1020 0.7338 0.0260
Er 0.6825 0.7867 0.9204
Er 0.9481 0.6326 0.2368
Er 0.3713 0.5816 0.3427
Er 0.4224 0.9490 0.6046
Er 0.5776 0.0510 0.3954
Er 0.0519 0.3674 0.7632
Er 0.6287 0.4184 0.6573
Er 0.8980 0.2662 0.9740
Er 0.3175 0.2133 0.0796
Er 0.8432 0.8958 0.7094